Here is an optimized crystal structure of K2CdIn2 from Alexandria. Energies are from GGA-PBE.

Properties
- Volume: 38.4 A^3/atom
- Formation enthalpy at 0 K: 113 meV per atom
- ΔE to the lowest computed polymorph: 219 meV per atom
- Crystal system: tetragonal

a b c (Å): 10.8287 10.8287 3.2776
angles (deg): 90.00 90.00 90.00
Closest atoms and distances in Å follow each position.
Fractional coordinates of all 10 atoms:
K 0.1965 0.3035 0.0000  2 K 3.28, 2 In 3.56
K 0.3035 0.8035 0.0000  2 K 3.28, 2 In 3.56
K 0.6965 0.1965 0.0000  2 K 3.28, 2 In 3.56
K 0.8035 0.6965 0.0000  2 K 3.28, 2 In 3.56
Cd 0.0000 0.0000 0.0000  2 Cd 3.28
Cd 0.5000 0.5000 0.0000  2 Cd 3.28
In 0.0968 0.5968 0.5000  3 In 2.96-3.28
In 0.4032 0.0968 0.5000  3 In 2.96-3.28
In 0.5968 0.9032 0.5000  3 In 2.96-3.28
In 0.9032 0.4032 0.5000  3 In 2.96-3.28